No. 1
TbErAl6 | GGA-PBE | optimized geometry

POSCAR file:
```
TbErAl6
1.0
6.264 0.000 0.000
-3.132 5.425 0.000
0.000 0.000 4.606
Er Al Tb
1 6 1
Cartesian
0.000 0.000 2.303
0.000 5.210 2.303
-1.380 2.820 2.303
1.380 2.820 2.303
-1.389 4.418 0.000
1.389 4.418 0.000
0.000 2.013 0.000
3.132 1.808 0.000
```

Calculated values
Total moment = 0.0 μB per cell
Electronic total energy = -4.384 eV/atom


No. 2
LiCu3IrS4 | GGA-PBE | optimized geometry

POSCAR file:
```
LiCu3IrS4
1.0
-4.357 2.883 -1.644
1.432 -0.814 -5.224
-2.994 -4.585 -0.107
S Cu Li Ir
4 3 1 1
Cartesian
-4.467 -1.899 -5.264
-0.722 -1.032 -4.372
-3.672 0.852 -2.548
-2.977 -2.953 -1.765
0.716 -0.407 -2.612
-2.179 1.442 -0.822
-1.497 -2.293 -0.053
-2.960 -1.258 -3.487
0.000 0.000 0.000
```

Calculated values
Total moment = 0.2 μB per cell
Electronic total energy = -4.424 eV/atom


No. 3
FeCoOsPb | GGA-PBE | optimized geometry

POSCAR file:
```
FeCoOsPb
1.0
0.000 3.118 3.118
3.118 0.000 3.118
3.118 3.118 0.000
Fe Os Co Pb
1 1 1 1
Cartesian
3.118 3.118 3.118
1.559 1.559 1.559
4.678 4.678 4.678
0.000 0.000 0.000
```

Calculated values
Distance to the lowest polymorph of the same formula = 0.000 eV per atom
Total moment = 5.0 μB per cell
Electronic total energy = -6.987 eV/atom


No. 4
BeGaCoAg | GGA-PBE | optimized geometry

POSCAR file:
```
BeGaCoAg
1.0
-2.529 -1.864 2.720
-0.600 1.667 3.759
-3.662 1.721 0.949
Co Ga Ag Be
1 1 1 1
Cartesian
-5.094 1.143 5.572
0.000 0.000 0.000
-1.698 0.381 1.857
-3.396 0.762 3.714
```

Calculated values
Distance to the lowest polymorph of the same formula = 0.000 eV per atom
Total moment = 0.5 μB per cell
Electronic total energy = -4.088 eV/atom


No. 5
HfZr2Ni3As4Pd | GGA-PBE | optimized geometry

POSCAR file:
```
HfZr2Ni3As4Pd
1.0
6.456 0.000 0.000
0.000 3.852 0.000
-0.093 0.000 7.472
Zr As Pd Ni Hf
2 4 1 3 1
Cartesian
6.247 0.000 1.373
3.354 1.926 5.133
4.920 0.000 6.523
4.900 1.926 2.839
1.624 1.926 0.967
1.392 0.000 4.625
2.320 0.000 7.009
4.139 1.926 0.485
5.445 0.000 4.181
0.900 1.926 3.326
3.000 0.000 2.373
```

Calculated values
Distance to the lowest polymorph of the same formula = 0.012 eV per atom
Total moment = 0.0 μB per cell
Electronic total energy = -6.921 eV/atom


No. 6
LiAs2Au | GGA-PBE | optimized geometry

POSCAR file:
```
LiAs2Au
1.0
4.151 -1.900 1.063
0.407 -2.800 3.736
0.690 -4.599 -0.583
As Li Au
2 1 1
Cartesian
1.312 -2.325 1.054
0.000 0.000 0.000
3.936 -6.975 3.162
2.624 -4.650 2.108
```

Calculated values
Distance to the lowest polymorph of the same formula = 0.254 eV per atom
Electronic total energy = -3.656 eV/atom


No. 7
Pr3Sm3Te2Pt | GGA-PBE | optimized geometry

POSCAR file:
```
Pr3Sm3Te2Pt
1.0
8.655 0.000 0.000
-4.328 7.496 0.000
0.000 0.000 4.076
Sm Pt Pr Te
3 1 3 2
Cartesian
3.272 5.667 2.038
-1.056 1.828 2.038
2.111 0.000 2.038
0.000 0.000 0.000
5.124 0.000 0.000
-2.562 4.438 0.000
1.765 3.058 0.000
0.000 4.997 2.038
4.328 2.499 2.038
```

Calculated values
Distance to the lowest polymorph of the same formula = 0.000 eV per atom
Total moment = 0.0 μB per cell
Electronic total energy = -5.473 eV/atom


No. 8
MgBeGePt | GGA-PBE | optimized geometry

POSCAR file:
```
MgBeGePt
1.0
-3.083 2.008 2.296
-0.850 4.193 -0.712
-3.715 1.166 -1.911
Pt Be Mg Ge
1 1 1 1
Cartesian
-1.912 1.842 -0.082
-3.824 3.683 -0.164
-5.736 5.525 -0.245
0.000 0.000 0.000
```

Calculated values
Distance to the lowest polymorph of the same formula = 0.000 eV per atom
Total moment = 0.0 μB per cell
Electronic total energy = -4.179 eV/atom


No. 9
BaSnAsPt2 | GGA-PBE | optimized geometry

POSCAR file:
```
BaSnAsPt2
1.0
4.827 0.000 0.000
0.000 4.719 0.000
-0.396 0.000 10.247
Ba Pt As Sn
2 4 2 2
Cartesian
1.036 1.180 2.700
3.395 3.539 7.547
1.017 1.180 6.177
0.518 3.539 10.209
3.415 3.539 4.070
3.914 1.180 0.038
0.999 3.539 5.112
3.432 1.180 5.135
3.332 3.539 1.240
1.099 1.180 9.008
```

Calculated values
Total moment = 0.0 μB per cell
Electronic total energy = -5.333 eV/atom


No. 10
GdMoC3 | GGA-PBE | optimized geometry

POSCAR file:
```
GdMoC3
1.0
-2.793 1.488 -3.878
-2.942 -1.789 1.432
-0.822 4.584 4.036
C Gd Mo
6 2 2
Cartesian
-2.062 2.196 0.935
-2.615 4.665 2.881
-3.941 -0.382 -1.292
-1.848 4.247 3.934
-4.708 0.036 -2.344
-4.495 2.087 0.655
-3.296 2.151 3.197
-3.261 2.133 -1.608
-3.281 0.131 0.705
-3.276 4.152 0.884
```

Calculated values
Total moment = 0.0 μB per cell
Electronic total energy = -8.117 eV/atom


No. 11
LiBe2Pd | GGA-PBE | optimized geometry

POSCAR file:
```
LiBe2Pd
1.0
-2.268 -2.624 -1.821
-3.533 -0.875 1.448
-3.232 1.173 -1.877
Li Be Pd
1 2 1
Cartesian
-4.516 -1.163 -1.125
-6.775 -1.744 -1.687
0.000 0.000 0.000
-2.258 -0.581 -0.562
```

Calculated values
Electronic total energy = -3.832 eV/atom


No. 12
Tb2NdMg3Pt2Au | GGA-PBE | optimized geometry

POSCAR file:
```
Tb2NdMg3Pt2Au
1.0
-1.694 0.700 -3.638
-5.114 -5.371 1.347
-1.366 7.135 2.010
Mg Pt Tb Au Nd
3 2 2 1 1
Cartesian
-3.483 6.130 0.521
-6.288 -3.231 0.024
-5.724 1.678 0.707
-3.462 3.364 -0.021
-4.738 -0.893 -0.247
-5.910 -1.202 2.520
-4.352 3.996 2.795
-6.453 1.756 3.342
-2.707 0.737 1.402
```

Calculated values
Total moment = 0.0 μB per cell
Electronic total energy = -4.633 eV/atom


No. 13
TaGaCoW | GGA-PBE | optimized geometry

POSCAR file:
```
TaGaCoW
1.0
0.000 3.109 3.109
3.109 0.000 3.109
3.109 3.109 0.000
W Co Ga Ta
1 1 1 1
Cartesian
1.555 1.555 1.555
4.664 4.664 4.664
0.000 0.000 0.000
3.109 3.109 3.109
```

Calculated values
Distance to the lowest polymorph of the same formula = 0.000 eV per atom
Total moment = 0.8 μB per cell
Electronic total energy = -8.595 eV/atom


No. 14
PmCdNO | GGA-PBE | optimized geometry

POSCAR file:
```
PmCdNO
1.0
-0.754 2.677 2.755
-2.883 -2.250 1.398
5.330 -3.693 5.046
Cd Pm O N
2 2 2 2
Cartesian
2.665 -1.846 2.523
0.847 -1.633 4.600
-0.668 -1.661 1.431
4.179 -1.818 5.691
0.000 0.000 0.000
-1.818 0.214 2.076
1.373 0.126 3.035
2.138 -3.605 4.088
```

Calculated values
Distance to the lowest polymorph of the same formula = 0.122 eV per atom
Total moment = 0.0 μB per cell
Electronic total energy = -5.941 eV/atom


No. 15
CuGeTe3Ir | GGA-PBE | optimized geometry

POSCAR file:
```
CuGeTe3Ir
1.0
2.046 -6.578 0.000
2.046 6.578 0.000
0.000 0.000 10.099
Cu Ir Te Ge
2 2 6 2
Cartesian
2.046 -0.499 7.575
2.046 0.499 2.525
0.000 0.000 0.000
0.000 0.000 5.050
2.046 1.790 4.705
2.046 -5.428 7.575
2.046 1.790 0.345
2.046 5.428 2.525
2.046 -1.790 5.395
2.046 -1.790 9.754
2.046 -3.229 2.525
2.046 3.229 7.575
```

Calculated values
Total moment = 0.0 μB per cell
Electronic total energy = -4.382 eV/atom


No. 16
CsMg2CuAs2 | GGA-PBE | optimized geometry

POSCAR file:
```
CsMg2CuAs2
1.0
4.302 0.000 0.000
0.000 4.302 0.000
0.000 0.000 8.945
Cs Mg Cu As
1 2 1 2
Cartesian
0.000 0.000 5.623
2.151 0.000 0.265
0.000 2.151 0.265
2.151 2.151 1.989
0.000 0.000 2.059
2.151 2.151 7.688
```

Calculated values
Electronic total energy = -3.147 eV/atom


No. 17
RbSmSc | GGA-PBE | optimized geometry

POSCAR file:
```
RbSmSc
1.0
0.000 4.137 4.137
4.137 0.000 4.137
4.137 4.137 0.000
Rb Sc Sm
1 1 1
Cartesian
2.068 2.068 2.068
0.000 0.000 0.000
6.205 6.205 6.205
```

Calculated values
Distance to the lowest polymorph of the same formula = 0.000 eV per atom
Total moment = 3.1 μB per cell
Electronic total energy = -2.781 eV/atom


No. 18
PrCuB | GGA-PBE | optimized geometry

POSCAR file:
```
PrCuB
1.0
-1.054 1.260 4.196
0.056 4.363 1.123
-3.867 2.172 0.796
Cu Pr B
1 1 1
Cartesian
-3.648 5.846 4.587
0.000 0.000 0.000
-1.216 1.949 1.529
```

Calculated values
Distance to the lowest polymorph of the same formula = 0.687 eV per atom
Total moment = 0.0 μB per cell
Electronic total energy = -4.109 eV/atom


No. 19
Gd3Cd3Pt2Au | GGA-PBE | optimized geometry

POSCAR file:
```
Gd3Cd3Pt2Au
1.0
3.922 0.000 0.000
0.000 6.689 3.853
0.000 -6.689 3.853
Pt Cd Gd Au
2 3 3 1
Cartesian
1.961 2.233 3.854
1.961 -2.233 3.854
1.961 1.752 1.010
1.961 0.000 5.684
1.961 -1.752 1.010
0.000 -3.946 2.281
0.000 0.000 3.152
0.000 3.946 2.281
0.000 0.000 7.700
```

Calculated values
Total moment = 0.0 μB per cell
Electronic total energy = -4.378 eV/atom


No. 20
Sm2Be | GGA-PBE | optimized geometry

POSCAR file:
```
Sm2Be
1.0
0.000 4.378 4.378
4.378 0.000 4.378
4.378 4.378 0.000
Be Sm
2 4
Cartesian
0.000 0.000 0.000
2.189 2.189 2.189
3.284 5.473 3.284
3.284 3.284 5.473
5.473 3.284 3.284
5.473 5.473 5.473
```

Calculated values
Distance to the lowest polymorph of the same formula = 0.668 eV per atom
Total moment = 0.1 μB per cell
Electronic total energy = -3.407 eV/atom


No. 21
CoMoIr | GGA-PBE | optimized geometry

POSCAR file:
```
CoMoIr
1.0
0.000 2.890 2.890
2.890 0.000 2.890
2.890 2.890 0.000
Co Mo Ir
1 1 1
Cartesian
1.445 1.445 1.445
0.000 0.000 0.000
4.334 4.334 4.334
```

Calculated values
Distance to the lowest polymorph of the same formula = 0.000 eV per atom
Total moment = 0.0 μB per cell
Electronic total energy = -8.550 eV/atom


No. 22
ZrCuTcPb | GGA-PBE | optimized geometry

POSCAR file:
```
ZrCuTcPb
1.0
4.154 1.813 1.156
0.215 3.955 2.488
1.444 -0.111 4.448
Pb Zr Tc Cu
1 1 1 1
Cartesian
0.000 0.000 0.000
2.906 2.829 4.046
1.453 1.414 2.023
4.359 4.243 6.069
```

Calculated values
Distance to the lowest polymorph of the same formula = 0.000 eV per atom
Total moment = 0.0 μB per cell
Electronic total energy = -6.406 eV/atom


No. 23
ZnBr2 | GGA-PBE | optimized geometry

POSCAR file:
```
ZnBr2
1.0
1.702 -6.771 0.000
1.702 6.771 0.000
0.000 0.000 3.396
Br Zn
2 1
Cartesian
1.702 1.626 1.698
1.702 -1.626 1.698
0.000 0.000 0.000
```

Calculated values
Electronic total energy = -1.784 eV/atom


No. 24
NdBiAsO | GGA-PBE | optimized geometry

POSCAR file:
```
NdBiAsO
1.0
-1.474 0.738 3.992
1.736 -3.725 1.330
8.585 4.815 2.281
O As Bi Nd
2 2 2 2
Cartesian
-0.672 -0.378 3.326
0.933 -2.609 1.995
6.355 2.781 3.001
2.492 -0.952 4.601
5.226 -0.202 3.136
3.621 2.030 4.467
0.930 -0.262 1.560
7.916 2.090 6.042
```

Calculated values
Distance to the lowest polymorph of the same formula = 0.000 eV per atom
Total moment = 0.0 μB per cell
Electronic total energy = -5.955 eV/atom


No. 25
NaTbAsSe3 | GGA-PBE | optimized geometry

POSCAR file:
```
NaTbAsSe3
1.0
-4.633 -4.391 4.124
4.458 0.697 -6.115
7.951 -3.298 5.421
Se Na As Tb
6 2 2 2
Cartesian
2.350 -6.294 7.042
4.731 -2.633 0.040
6.218 -5.675 5.554
5.427 -0.698 -3.612
3.045 -4.359 3.390
1.559 -1.317 -2.123
-0.421 -3.971 2.974
8.197 -3.021 0.456
2.248 -2.477 -0.031
5.529 -4.515 3.462
3.976 -1.649 2.711
0.000 0.000 0.000
```

Calculated values
Total moment = 0.2 μB per cell
Electronic total energy = -4.384 eV/atom


No. 26
NdTlCd | GGA-PBE | optimized geometry

POSCAR file:
```
NdTlCd
1.0
5.032 0.000 0.000
-2.516 4.358 0.000
0.000 0.000 7.439
Tl Cd Nd
2 2 2
Cartesian
2.516 1.453 5.580
0.000 2.905 1.860
0.000 2.905 5.580
2.516 1.453 1.860
0.000 0.000 0.000
0.000 0.000 3.720
```

Calculated values
Total moment = 0.4 μB per cell
Electronic total energy = -3.008 eV/atom